Material: MgAg7Pd4
Method: DFT, PBE
State: optimized geometry

Mass density, Mg/m³: 9.0
V, Å³/cell: 221
ΔH_f (0 K), meV/atom: 110.0
DFT total energy, eV/atom: -3.417

abc: 4.9543 9.0294 5.7122
angles: 82.77 64.30 74.08
Closest atoms and distances in Å follow each position.
Positions (direct):
Pd 0.4179 0.7746 0.3896  8 Ag 2.75-2.92, 1 Pd 2.78
Ag 0.0399 0.6202 0.3001  5 Ag 2.76-2.92, 4 Pd 2.85-3.00
Pd 0.5821 0.2254 0.6104  8 Ag 2.75-2.92, 1 Pd 2.78
Pd 0.7194 0.6915 0.8698  7 Ag 2.75-3.00, 1 Pd 2.78
Mg 0.0000 0.0000 0.0000  4 Ag 2.48-2.62
Ag 0.6568 0.4521 0.2343  5 Pd 2.75-2.92, 4 Ag 2.83-2.90
Ag 0.2035 0.0837 0.5092  1 Mg 2.62, 4 Ag 2.73-2.87, 4 Pd 2.75-2.82
Ag 0.7965 0.9163 0.4908  1 Mg 2.62, 4 Ag 2.73-2.87, 4 Pd 2.75-2.82
Ag 0.9601 0.3798 0.6999  5 Ag 2.76-2.92, 4 Pd 2.85-3.00
Ag 0.3432 0.5479 0.7657  5 Pd 2.75-2.92, 4 Ag 2.83-2.90
Pd 0.2806 0.3085 0.1302  7 Ag 2.75-3.00, 1 Pd 2.78
Ag 0.5000 0.0000 0.0000  2 Mg 2.48, 2 Ag 2.73, 2 Pd 2.77

Material: MgAgPd2
Method: DFT, PBE
State: optimized geometry

Mass density, Mg/m³: 8.1
V, Å³/cell: 71
ΔH_f (0 K), meV/atom: 9.8
DFT total energy, eV/atom: -3.698

abc: 5.9465 5.9465 5.9465
angles: 55.49 152.49 132.82
Closest atoms and distances in Å follow each position.
Positions (direct):
Mg 0.0000 0.0000 0.0000  2 Pd 2.56, 4 Ag 2.77, 2 Mg 2.83
Pd 0.0000 0.2431 0.2431  1 Mg 2.56, 1 Ag 2.70, 6 Pd 2.77-2.83
Ag 0.0000 0.5000 0.5000  2 Pd 2.70, 4 Mg 2.77, 2 Ag 2.83
Pd 0.0000 0.7569 0.7569  1 Mg 2.56, 1 Ag 2.70, 6 Pd 2.77-2.83

Material: Mg8Ag2Pd
Method: DFT, PBE
State: optimized geometry

Mass density, Mg/m³: 3.9
V, Å³/cell: 221
ΔH_f (0 K), meV/atom: -230.8
DFT total energy, eV/atom: -2.381

abc: 4.6775 6.7724 7.9777
angles: 112.71 107.05 90.00
Closest atoms and distances in Å follow each position.
Positions (direct):
Mg 0.3383 0.0767 0.6766  1 Pd 2.72, 3 Ag 2.82-3.00, 1 Mg 3.04
Mg 0.6057 0.4300 0.2113  1 Pd 2.70, 2 Ag 2.82, 2 Mg 2.99
Ag 0.8165 0.3309 0.6329  9 Mg 2.82-3.02
Mg 0.6617 0.9233 0.3234  1 Pd 2.72, 3 Ag 2.82-3.00, 1 Mg 3.04
Mg 0.9794 0.2257 0.9588  1 Ag 2.85, 2 Pd 2.88, 6 Mg 2.99-3.12
Pd 0.5000 0.0000 0.0000  8 Mg 2.70-2.88
Mg 0.8197 0.7575 0.6393  3 Ag 2.87-3.02, 8 Mg 3.02-3.12
Ag 0.1835 0.6691 0.3671  9 Mg 2.82-3.02
Mg 0.0206 0.7743 0.0412  1 Ag 2.85, 2 Pd 2.88, 6 Mg 2.99-3.12
Mg 0.3943 0.5700 0.7887  1 Pd 2.70, 2 Ag 2.82, 2 Mg 2.99
Mg 0.1803 0.2425 0.3607  3 Ag 2.87-3.02, 8 Mg 3.02-3.12

Material: Mg2Ag5Pd
Method: DFT, PBE
State: optimized geometry

Mass density, Mg/m³: 8.2
V, Å³/cell: 280
ΔH_f (0 K), meV/atom: -238.2
DFT total energy, eV/atom: -3.068

abc: 4.0035 5.9236 11.8201
angles: 90.00 90.00 90.00
Closest atoms and distances in Å follow each position.
Positions (direct):
Ag 0.5000 0.7410 0.6267  6 Ag 2.87-2.90, 4 Mg 2.88-3.04, 2 Pd 2.93
Pd 0.0000 0.5000 0.0000  4 Mg 2.79, 8 Ag 2.93-2.96
Pd 0.0000 0.0000 0.5000  4 Mg 2.79, 8 Ag 2.93-2.96
Mg 0.5000 0.7273 0.8822  2 Pd 2.79, 10 Ag 2.88-3.04
Ag 0.0000 0.0000 0.0000  6 Ag 2.88-2.95, 4 Mg 2.93, 2 Pd 2.96
Mg 0.5000 0.2727 0.1178  2 Pd 2.79, 10 Ag 2.88-3.04
Ag 0.5000 0.7590 0.1267  6 Ag 2.87-2.90, 4 Mg 2.88-3.04, 2 Pd 2.93
Ag 0.0000 0.5144 0.2506  7 Ag 2.87-2.96, 4 Mg 2.92-2.96, 1 Pd 2.96
Ag 0.0000 0.0144 0.2494  7 Ag 2.87-2.96, 4 Mg 2.92-2.96, 1 Pd 2.96
Ag 0.0000 0.9856 0.7506  7 Ag 2.87-2.96, 4 Mg 2.92-2.96, 1 Pd 2.96
Mg 0.5000 0.7727 0.3822  2 Pd 2.79, 10 Ag 2.88-3.04
Ag 0.5000 0.2590 0.3733  6 Ag 2.87-2.90, 4 Mg 2.88-3.04, 2 Pd 2.93
Mg 0.5000 0.2273 0.6178  2 Pd 2.79, 10 Ag 2.88-3.04
Ag 0.0000 0.5000 0.5000  6 Ag 2.88-2.95, 4 Mg 2.93, 2 Pd 2.96
Ag 0.5000 0.2410 0.8733  6 Ag 2.87-2.90, 4 Mg 2.88-3.04, 2 Pd 2.93
Ag 0.0000 0.4856 0.7494  7 Ag 2.87-2.96, 4 Mg 2.92-2.96, 1 Pd 2.96

Material: Mg3AgPd
Method: DFT, PBE
State: optimized geometry

Mass density, Mg/m³: 5.2
Energy above the most stable polymorph in this dataset, eV/f.u.: 0.00
V, Å³/cell: 183
ΔH_f (0 K), meV/atom: -402.2
DFT total energy, eV/atom: -2.968

abc: 4.6164 4.6239 8.8796
angles: 90.00 105.18 90.00
Closest atoms and distances in Å follow each position.
Positions (direct):
Mg 0.2630 0.8443 0.8066  4 Ag 2.81-2.82, 4 Pd 2.85-2.86
Mg 0.5773 0.3444 0.4358  2 Pd 2.75-2.76, 2 Ag 2.79
Ag 0.3574 0.3445 0.9958  8 Mg 2.79-2.82
Mg 0.7641 0.3443 0.8083  4 Ag 2.81-2.83, 4 Pd 2.85-2.86
Ag 0.6687 0.8445 0.6187  8 Mg 2.79-2.83
Mg 0.0754 0.8443 0.4315  2 Pd 2.78, 2 Ag 2.81
Mg 0.4473 0.8444 0.1790  2 Pd 2.75-2.77, 2 Ag 2.79-2.80
Pd 0.8602 0.8445 0.0026  8 Mg 2.75-2.86
Mg 0.9496 0.3444 0.1825  2 Pd 2.78, 2 Ag 2.80-2.82
Pd 0.1652 0.3444 0.6119  8 Mg 2.75-2.86

Material: Mg6Ag2Pd
Method: DFT, PBE
State: optimized geometry

Mass density, Mg/m³: 3.8
Energy above the most stable polymorph in this dataset, eV/f.u.: 0.79
V, Å³/cell: 203
ΔH_f (0 K), meV/atom: -177.3
DFT total energy, eV/atom: -2.451

abc: 4.5587 6.4783 7.9249
angles: 114.13 106.47 90.00
Closest atoms and distances in Å follow each position.
Positions (direct):
Mg 0.5000 0.2376 0.0000  2 Pd 2.75, 2 Ag 2.85, 1 Mg 3.08
Mg 0.5000 0.7624 0.0000  2 Pd 2.75, 2 Ag 2.85, 1 Mg 3.08
Mg 0.8388 0.5957 0.6773  1 Pd 2.72, 3 Ag 2.82-2.84
Mg 0.8388 0.0816 0.6773  1 Pd 2.72, 3 Ag 2.82-2.84
Ag 0.6664 0.6667 0.3335  8 Mg 2.82-2.85
Mg 0.1612 0.4043 0.3227  1 Pd 2.72, 3 Ag 2.82-2.84
Ag 0.3336 0.3333 0.6665  8 Mg 2.82-2.85
Pd 0.0000 0.0000 0.0000  8 Mg 2.72-2.75
Mg 0.1612 0.9184 0.3227  1 Pd 2.72, 3 Ag 2.82-2.84

Material: MgAgPdPt
Method: DFT, PBE
State: optimized geometry

Mass density, Mg/m³: 11.0
Energy above the most stable polymorph in this dataset, eV/f.u.: 0.15
V, Å³/cell: 65
ΔH_f (0 K), meV/atom: -410.0
DFT total energy, eV/atom: -4.330

abc: 4.5190 4.5190 4.5190
angles: 60.00 60.00 60.00
Closest atoms and distances in Å follow each position.
Positions (direct):
Pd 0.2500 0.2500 0.2500  4 Mg 2.77, 4 Ag 2.77
Ag 0.5000 0.5000 0.5000  4 Pd 2.77, 4 Pt 2.77
Pt 0.7500 0.7500 0.7500  4 Mg 2.77, 4 Ag 2.77
Mg 0.0000 0.0000 0.0000  4 Pd 2.77, 4 Pt 2.77

Material: MgAgPdPt
Method: DFT, PBE
State: optimized geometry

Mass density, Mg/m³: 11.1
Energy above the most stable polymorph in this dataset, eV/f.u.: 0.00
V, Å³/cell: 65
ΔH_f (0 K), meV/atom: -447.4
DFT total energy, eV/atom: -4.367

abc: 3.8757 4.1163 4.0691
angles: 90.00 90.00 90.00
Closest atoms and distances in Å follow each position.
Positions (direct):
Mg 0.5000 0.0000 0.5000  4 Pt 2.81, 4 Pd 2.83, 4 Ag 2.89
Pd 0.0000 0.5000 0.5000  4 Ag 2.81, 4 Mg 2.83, 4 Pt 2.89
Pt 0.0000 0.0000 0.0000  4 Mg 2.81, 4 Ag 2.83, 4 Pd 2.89
Ag 0.5000 0.5000 0.0000  4 Pd 2.81, 4 Pt 2.83, 4 Mg 2.89

Material: Mg2AgPd5Pt
Method: DFT, PBE
State: optimized geometry

Mass density, Mg/m³: 9.7
V, Å³/cell: 303
ΔH_f (0 K), meV/atom: 6.3
DFT total energy, eV/atom: -4.221

abc: 7.1935 7.1935 7.7624
angles: 117.60 117.60 90.00
Closest atoms and distances in Å follow each position.
Positions (direct):
Mg 0.1181 0.3819 0.0000  2 Pd 2.35, 1 Mg 2.40
Pt 0.2500 0.2500 0.5000  10 Pd 2.90-2.93
Pd 0.4232 0.3476 0.2708  1 Mg 2.35, 1 Ag 2.54
Pd 0.0768 0.5768 0.7292  1 Mg 2.35, 1 Ag 2.54
Mg 0.3819 0.8819 0.0000  2 Pd 2.35, 1 Mg 2.40
Pd 0.5000 0.5000 0.0000  4 Mg 2.88, 2 Pt 2.93, 8 Pd 3.02
Pd 0.8476 0.9232 0.2708  1 Mg 2.35, 1 Ag 2.54
Mg 0.8819 0.6181 0.0000  2 Pd 2.35, 1 Mg 2.40
Pd 0.6524 0.1524 0.7292  1 Mg 2.35, 1 Ag 2.54
Pd 0.9232 0.4232 0.2708  1 Mg 2.35, 1 Ag 2.54
Ag 0.7500 0.2500 0.5000  4 Pd 2.54
Pd 0.1524 0.0768 0.7292  1 Mg 2.35, 1 Ag 2.54
Ag 0.2500 0.7500 0.5000  4 Pd 2.54
Pt 0.7500 0.7500 0.5000  10 Pd 2.90-2.93
Pd 0.3476 0.8476 0.2708  1 Mg 2.35, 1 Ag 2.54
Pd 0.5768 0.6524 0.7292  1 Mg 2.35, 1 Ag 2.54
Pd 0.0000 0.0000 0.0000  4 Mg 2.88, 2 Pt 2.93, 8 Pd 3.02
Mg 0.6181 0.1181 0.0000  2 Pd 2.35, 1 Mg 2.40

Material: Mg5Ag2PdRh2
Method: DFT, PBE
State: optimized geometry

Mass density, Mg/m³: 5.9
V, Å³/cell: 364
ΔH_f (0 K), meV/atom: -304.3
DFT total energy, eV/atom: -3.661

abc: 3.2542 10.5707 10.5707
angles: 90.00 90.00 90.00
Closest atoms and distances in Å follow each position.
Positions (direct):
Mg 0.5000 0.4048 0.3166  2 Rh 2.57, 2 Pd 2.72
Rh 0.0000 0.6318 0.8682  6 Mg 2.56-2.57
Ag 0.0000 0.1642 0.3358  6 Mg 2.95-3.03, 3 Rh 3.05-3.15, 2 Ag 3.25
Mg 0.5000 0.8166 0.9048  2 Rh 2.57, 2 Pd 2.72
Ag 0.0000 0.6642 0.1642  6 Mg 2.95-3.03, 3 Rh 3.05-3.15, 2 Ag 3.25
Rh 0.0000 0.3682 0.1318  6 Mg 2.56-2.57
Mg 0.5000 0.3166 0.5952  2 Rh 2.57, 2 Pd 2.72
Ag 0.0000 0.8358 0.6642  6 Mg 2.95-3.03, 3 Rh 3.05-3.15, 2 Ag 3.25
Mg 0.5000 0.6834 0.4048  2 Rh 2.57, 2 Pd 2.72
Mg 0.5000 0.9048 0.1834  2 Rh 2.57, 2 Pd 2.72
Mg 0.5000 0.5952 0.6834  2 Rh 2.57, 2 Pd 2.72
Pd 0.0000 0.0000 0.0000  8 Mg 2.72
Rh 0.0000 0.8682 0.3682  6 Mg 2.56-2.57
Rh 0.0000 0.1318 0.6318  6 Mg 2.56-2.57
Mg 0.5000 0.0952 0.8166  2 Rh 2.57, 2 Pd 2.72
Pd 0.0000 0.5000 0.5000  8 Mg 2.72
Mg 0.5000 0.1834 0.0952  2 Rh 2.57, 2 Pd 2.72
Mg 0.5000 0.5000 0.0000  4 Rh 2.56
Ag 0.0000 0.3358 0.8358  6 Mg 2.95-3.03, 3 Rh 3.05-3.15, 2 Ag 3.25
Mg 0.5000 0.0000 0.5000  4 Rh 2.56

Material: MgAgSbPd
Method: DFT, PBE
State: optimized geometry

Mass density, Mg/m³: 7.9
V, Å³/cell: 76
DFT total energy, eV/atom: -3.736
E_form (uncorrected), eV/atom: -0.295

abc: 4.7472 4.7472 4.7472
angles: 60.00 60.00 60.00
Closest atoms and distances in Å follow each position.
Positions (direct):
Pd 0.0000 0.0000 0.0000  4 Mg 2.91, 4 Sb 2.91
Ag 0.5000 0.5000 0.5000  4 Sb 2.91, 4 Mg 2.91
Mg 0.2500 0.2500 0.2500  4 Pd 2.91, 4 Ag 2.91
Sb 0.7500 0.7500 0.7500  4 Pd 2.91, 4 Ag 2.91

Material: MgScAgPd2
Method: DFT, PBE
State: optimized geometry

Mass density, Mg/m³: 5.4
V, Å³/cell: 120
ΔH_f (0 K), meV/atom: 548.1
DFT total energy, eV/atom: -3.685

abc: 4.7110 5.4152 4.7110
angles: 90.00 90.00 90.00
Closest atoms and distances in Å follow each position.
Positions (direct):
Pd 0.0000 0.0000 0.5000  2 Sc 2.36
Ag 0.5000 0.5000 0.5000  4 Mg 3.33, 8 Pd 3.59
Sc 0.0000 0.0000 0.0000  4 Pd 2.36
Mg 0.0000 0.5000 0.0000  2 Sc 2.71
Pd 0.5000 0.0000 0.0000  2 Sc 2.36

Material: Mg2Si2AgPd5
Method: DFT, PBE
State: optimized geometry

Mass density, Mg/m³: 7.6
V, Å³/cell: 325
DFT total energy, eV/atom: -4.827
E_form (uncorrected), eV/atom: -0.542

abc: 3.5138 9.6159 9.6159
angles: 90.00 90.00 90.00
Closest atoms and distances in Å follow each position.
Positions (direct):
Pd 0.5000 0.2097 0.0753  2 Si 2.41
Pd 0.5000 0.7097 0.4247  2 Si 2.41
Pd 0.5000 0.7903 0.9247  2 Si 2.41
Pd 0.5000 0.0753 0.7903  2 Si 2.41
Ag 0.0000 0.0000 0.0000  8 Pd 2.77
Mg 0.0000 0.6718 0.1718  3 Si 2.73-2.91, 6 Pd 2.92-3.02
Pd 0.5000 0.2903 0.5753  2 Si 2.41
Pd 0.5000 0.9247 0.2097  2 Si 2.41
Si 0.0000 0.3723 0.1277  6 Pd 2.41-2.47
Mg 0.0000 0.8282 0.6718  3 Si 2.73-2.91, 6 Pd 2.92-3.02
Pd 0.5000 0.5753 0.7097  2 Si 2.41
Si 0.0000 0.6277 0.8723  6 Pd 2.41-2.47
Pd 0.5000 0.4247 0.2903  2 Si 2.41
Si 0.0000 0.8723 0.3723  6 Pd 2.41-2.47
Pd 0.5000 0.0000 0.5000  4 Si 2.47
Ag 0.0000 0.5000 0.5000  8 Pd 2.77
Si 0.0000 0.1277 0.6277  6 Pd 2.41-2.47
Mg 0.0000 0.3282 0.8282  3 Si 2.73-2.91, 6 Pd 2.92-3.02
Pd 0.5000 0.5000 0.0000  4 Si 2.47
Mg 0.0000 0.1718 0.3282  3 Si 2.73-2.91, 6 Pd 2.92-3.02

Material: MgSiAgPd
Method: DFT, PBE
State: optimized geometry

Mass density, Mg/m³: 7.0
V, Å³/cell: 63
DFT total energy, eV/atom: -4.051
E_form (uncorrected), eV/atom: -0.286

abc: 4.4733 4.4733 4.4733
angles: 60.00 60.00 60.00
Closest atoms and distances in Å follow each position.
Positions (direct):
Si 0.7500 0.7500 0.7500  4 Pd 2.74, 4 Ag 2.74
Ag 0.5000 0.5000 0.5000  4 Si 2.74, 4 Mg 2.74
Pd 0.0000 0.0000 0.0000  4 Mg 2.74, 4 Si 2.74
Mg 0.2500 0.2500 0.2500  4 Ag 2.74, 4 Pd 2.74

Material: MgAgSnPd
Method: DFT, PBE
State: optimized geometry

Mass density, Mg/m³: 8.1
V, Å³/cell: 73
ΔH_f (0 K), meV/atom: -389.1
DFT total energy, eV/atom: -3.799

abc: 4.6982 4.6982 4.6982
angles: 60.00 60.00 60.00
Closest atoms and distances in Å follow each position.
Positions (direct):
Pd 0.0000 0.0000 0.0000  4 Sn 2.88, 4 Mg 2.88
Mg 0.7500 0.7500 0.7500  4 Ag 2.88, 4 Pd 2.88
Sn 0.2500 0.2500 0.2500  4 Pd 2.88, 4 Ag 2.88
Ag 0.5000 0.5000 0.5000  4 Sn 2.88, 4 Mg 2.88

Material: Mg4Ag2SnPd
Method: DFT, PBE
State: optimized geometry

Mass density, Mg/m³: 5.9
V, Å³/cell: 153
ΔH_f (0 K), meV/atom: -322.1
DFT total energy, eV/atom: -2.982

abc: 4.7297 4.7297 8.3323
angles: 73.51 73.51 60.00
Closest atoms and distances in Å follow each position.
Positions (direct):
Mg 0.3838 0.3838 0.8485  1 Pd 2.74, 3 Ag 2.85, 3 Sn 2.98
Sn 0.0000 0.0000 0.0000  8 Mg 2.98-3.09
Mg 0.1309 0.1309 0.6073  4 Ag 2.78-2.94, 3 Pd 2.86, 1 Sn 3.09
Pd 0.5000 0.5000 0.5000  8 Mg 2.74-2.86
Ag 0.7514 0.7514 0.7457  7 Mg 2.78-2.94
Ag 0.2486 0.2486 0.2543  7 Mg 2.78-2.94
Mg 0.6162 0.6162 0.1515  1 Pd 2.74, 3 Ag 2.85, 3 Sn 2.98
Mg 0.8691 0.8691 0.3927  4 Ag 2.78-2.94, 3 Pd 2.86, 1 Sn 3.09

Material: SrMgAgPd
Method: DFT, PBE
State: optimized geometry

Mass density, Mg/m³: 5.4
V, Å³/cell: 100
ΔH_f (0 K), meV/atom: -449.0
DFT total energy, eV/atom: -3.279

abc: 4.6521 4.6593 5.9546
angles: 113.07 90.00 119.95
Closest atoms and distances in Å follow each position.
Positions (direct):
Mg 0.1079 0.2159 0.9663  3 Pd 2.71-2.72, 3 Ag 2.79-2.80
Ag 0.8226 0.6453 0.1098  3 Mg 2.79-2.80, 3 Pd 2.92-2.93
Pd 0.4173 0.8345 0.8945  3 Mg 2.71-2.72, 3 Ag 2.92-2.93
Sr 0.6185 0.2369 0.4968  4 Pd 3.20-3.42, 4 Ag 3.26-3.39

Material: SrMg2AgPd
Method: DFT, PBE
State: optimized geometry

Mass density, Mg/m³: 3.9
V, Å³/cell: 148
ΔH_f (0 K), meV/atom: 171.4
DFT total energy, eV/atom: -2.412

abc: 5.0425 5.8310 5.0425
angles: 90.00 90.00 90.00
Closest atoms and distances in Å follow each position.
Positions (direct):
Mg 0.0000 0.0000 0.5000  2 Ag 2.52
Pd 0.5000 0.5000 0.5000  4 Sr 3.57, 8 Mg 3.85
Sr 0.0000 0.5000 0.0000  2 Ag 2.92
Mg 0.5000 0.0000 0.0000  2 Ag 2.52
Ag 0.0000 0.0000 0.0000  4 Mg 2.52

Material: TmMgAgPd
Method: DFT, PBE
State: optimized geometry

Mass density, Mg/m³: 8.6
V, Å³/cell: 79
ΔH_f (0 K), meV/atom: -554.2
DFT total energy, eV/atom: -4.082

abc: 4.8168 4.8168 4.8168
angles: 60.00 60.00 60.00
Closest atoms and distances in Å follow each position.
Positions (direct):
Tm 0.0000 0.0000 0.0000  4 Pd 2.95, 4 Ag 2.95
Ag 0.2500 0.2500 0.2500  4 Tm 2.95, 4 Mg 2.95
Mg 0.5000 0.5000 0.5000  4 Pd 2.95, 4 Ag 2.95
Pd 0.7500 0.7500 0.7500  4 Mg 2.95, 4 Tm 2.95

Material: YMgAgPd
Method: DFT, PBE
State: optimized geometry

Mass density, Mg/m³: 6.7
V, Å³/cell: 82
ΔH_f (0 K), meV/atom: -538.2
DFT total energy, eV/atom: -4.564

abc: 4.8687 4.8687 4.8687
angles: 60.00 60.00 60.00
Closest atoms and distances in Å follow each position.
Positions (direct):
Mg 0.0000 0.0000 0.0000  4 Pd 2.98, 4 Ag 2.98
Pd 0.2500 0.2500 0.2500  4 Mg 2.98, 4 Y 2.98
Y 0.5000 0.5000 0.5000  4 Pd 2.98, 4 Ag 2.98
Ag 0.7500 0.7500 0.7500  4 Y 2.98, 4 Mg 2.98